DFT (PBE) results for a geometry-optimized BaSrZr2 structure.

Relative energy among the computed polymorphs, eV/atom: 0.362
Size of the total moment, μB per atom: 0.003
Formation enthalpy at 0 K, eV per atom: 0.7021
Crystal system: tetragonal

Unit cell a=5.312 b=5.312 c=9.227 alpha=90.00 beta=90.00 gamma=90.00
Space group I-4m2 (No. 119)
One atom of each set of equivalent atoms:
Ba: 0.000 0.000 0.000 x2
Sr: 0.000 0.500 0.750 x2
Zr: 0.000 0.000 0.500 x2
Zr: 0.000 0.500 0.250 x2

=====

DFT (PBE) results for a geometry-optimized BaSr2Zr structure.

Relative energy among the computed polymorphs, eV/atom: 0.040
Size of the total moment, μB per atom: 0.000
Formation enthalpy at 0 K, eV per atom: 0.4559
Crystal system: trigonal

Unit cell a=3.8757 b=3.8757 c=38.7903 alpha=90.00 beta=90.00 gamma=120.00
Space group R-3m (No. 166, hexagonal axes)
One atom of each set of equivalent atoms:
Ba: 0.0000 0.0000 0.0000 x3
Sr: 0.0000 0.0000 0.2382 x6
Zr: 0.0000 0.0000 0.5000 x3

=====

DFT (PBE) results for a geometry-optimized BaSr2Zr structure.

Relative energy among the computed polymorphs, eV/atom: 0.009
Size of the total moment, μB per atom: 0.000
Formation enthalpy at 0 K, eV per atom: 0.4249
Crystal system: orthorhombic

Unit cell a=5.441 b=5.448 c=11.698 alpha=90.00 beta=90.00 gamma=90.00
Space group Cmmm (No. 65)
One atom of each set of equivalent atoms:
Ba: 0.000 0.000 0.000 x2
Sr: 0.000 0.500 0.296 x4
Zr: 0.000 0.000 0.500 x2

=====

DFT (PBE) results for a geometry-optimized Ba4SrZr structure.

Size of the total moment, μB per atom: 0.729
Formation enthalpy at 0 K, eV per atom: 0.6360
Crystal system: cubic

Unit cell a=10.755 b=10.755 c=10.755 alpha=90.00 beta=90.00 gamma=90.00
Space group F-43m (No. 216)
One atom of each set of equivalent atoms:
Ba: 0.123 0.123 0.377 x16
Sr: 0.000 0.000 0.000 x4
Zr: 0.250 0.250 0.750 x4

=====

DFT (PBE) results for a geometry-optimized BaSr2Zr structure.

Relative energy among the computed polymorphs, eV/atom: 0.356
Size of the total moment, μB per atom: 0.548
Formation enthalpy at 0 K, eV per atom: 0.7722
Crystal system: tetragonal

Unit cell a=5.192 b=5.192 c=26.357 alpha=90.00 beta=90.00 gamma=90.00
Space group I-42d (No. 122)
One atom of each set of equivalent atoms:
Ba: 0.000 0.000 0.000 x4
Sr: 0.233 0.250 0.625 x8
Zr: 0.000 0.000 0.500 x4

=====

DFT (PBE) results for a geometry-optimized BaSrZr structure.

Relative energy among the computed polymorphs, eV/atom: 0.043
Size of the total moment, μB per atom: 0.283
Formation enthalpy at 0 K, eV per atom: 0.4131
Crystal system: orthorhombic

Unit cell a=9.199 b=3.838 c=14.357 alpha=90.00 beta=90.00 gamma=90.00
Space group Pnma (No. 62)
One atom of each set of equivalent atoms:
Ba: 0.148 0.250 0.225 x4
Sr: 0.177 0.250 0.948 x4
Zr: 0.054 0.250 0.571 x4

=====

DFT (PBE) results for a geometry-optimized Ba2SrZr structure.

Relative energy among the computed polymorphs, eV/atom: 0.122
Size of the total moment, μB per atom: 0.701
Formation enthalpy at 0 K, eV per atom: 0.5586
Crystal system: tetragonal

Unit cell a=5.680 b=5.680 c=5.678 alpha=90.00 beta=90.00 gamma=90.00
Space group P4/mmm (No. 123)
One atom of each set of equivalent atoms:
Ba: 0.000 0.500 0.000 x2
Sr: 0.000 0.000 0.500 x1
Zr: 0.500 0.500 0.500 x1

=====

DFT (PBE) results for a geometry-optimized BaSrZr structure.

Relative energy among the computed polymorphs, eV/atom: 0.000
Size of the total moment, μB per atom: 0.274
Formation enthalpy at 0 K, eV per atom: 0.3701
Crystal system: monoclinic

Unit cell a=14.523 b=3.877 c=9.523 alpha=90.00 beta=109.36 gamma=90.00
Space group C2/m (No. 12)
One atom of each set of equivalent atoms:
Ba: 0.032 0.000 0.218 x4
Sr: 0.174 0.500 0.642 x4
Zr: 0.184 0.500 0.030 x4